# Na4Eu2GeAs4 PBE-GGA relaxed
# Spin magnetization = 0.1 μB per cell
# ΔH_f (0 K) = -697 kJ/mol of formula units
data_Na4Eu2GeAs4
_chemical_formula_sum 'Na16 Eu8 Ge4 As16'
_space_group_name_H-M_alt 'C 1 c 1'
_space_group_IT_number 9
_cell_length_a 9.642
_cell_length_b 16.625
_cell_length_c 7.345
_cell_angle_alpha 90.00
_cell_angle_beta 92.13
_cell_angle_gamma 90.00
loop_
_space_group_symop_operation_xyz
'x,y,z'
'x,-y,z+1/2'
'x+1/2,y+1/2,z'
'x+1/2,-y+1/2,z+1/2'
loop_
_atom_site_label
_atom_site_type_symbol
_atom_site_fract_x
_atom_site_fract_y
_atom_site_fract_z
Na1 Na 0.000 0.072 0.000
Na2 Na 0.082 0.423 0.554
Na3 Na 0.085 0.234 0.710
Na4 Na 0.298 0.354 0.031
Eu1 Eu 0.006 0.261 0.211
Eu2 Eu 0.287 0.022 0.705
Ge1 Ge 0.297 0.166 0.326
As1 As 0.005 0.408 0.950
As2 As 0.077 0.094 0.414
As3 As 0.288 0.307 0.430
As4 As 0.296 0.162 0.980

# LaEr2Rh PBE-GGA relaxed
# Spin magnetization = 0.0 μB per cell
# Distance to the lowest polymorph of the same formula = 0 meV per atom
# ΔH_f (0 K) = -201 kJ/mol of formula units
data_LaEr2Rh
_chemical_formula_sum 'La4 Er8 Rh4'
_space_group_name_H-M_alt 'P n m a'
_space_group_IT_number 62
_cell_length_a 7.215
_cell_length_b 9.518
_cell_length_c 6.461
_cell_angle_alpha 90.00
_cell_angle_beta 90.00
_cell_angle_gamma 90.00
loop_
_space_group_symop_operation_xyz
'x,y,z'
'-x,-y,-z'
'-x+1/2,-y,z+1/2'
'x+1/2,y,-z+1/2'
'x+1/2,-y+1/2,-z+1/2'
'-x+1/2,y+1/2,z+1/2'
'-x,y+1/2,-z'
'x,-y+1/2,z'
loop_
_atom_site_label
_atom_site_type_symbol
_atom_site_fract_x
_atom_site_fract_y
_atom_site_fract_z
La1 La 0.040 0.250 0.136
Er1 Er 0.175 0.066 0.667
Rh1 Rh 0.122 0.750 0.432